VASP calculation (PBE+U) on a geometry-optimized V2ZnO4 structure.

Summary:
energy = -6.9229 eV per atom
magnetization = 16.0 μB per cell
V = 10.5 A^3/atom
offset from the most stable computed form = 130.6 meV/atom

Lattice parameters (Å, degrees): 2.9845 9.8125 9.9981 90.00 90.00 90.00
Closest atoms and distances in Å follow each position.
Sites, in units of the cell vectors:
1 V 0.2171 0.1183 0.0723  6 O 2.00-2.16
2 V 0.2171 0.1183 0.4277  6 O 2.00-2.16
3 V 0.2171 0.3817 0.5723  6 O 2.00-2.16
4 V 0.2171 0.3817 0.9277  6 O 2.00-2.16
5 V 0.7829 0.6183 0.0723  6 O 2.00-2.16
6 V 0.7829 0.6183 0.4277  6 O 2.00-2.16
7 V 0.7829 0.8817 0.5723  6 O 2.00-2.16
8 V 0.7829 0.8817 0.9277  6 O 2.00-2.16
9 Zn 0.3546 0.6402 0.7500  4 O 2.04-2.16
10 Zn 0.3546 0.8598 0.2500  4 O 2.04-2.16
11 Zn 0.6454 0.1402 0.7500  4 O 2.04-2.16
12 Zn 0.6454 0.3598 0.2500  4 O 2.04-2.16
13 O 0.1529 0.2161 0.2500  2 V 2.03, 2 Zn 2.04-2.07
14 O 0.1529 0.2839 0.7500  2 V 2.03, 2 Zn 2.04-2.07
15 O 0.2643 0.0177 0.6113  3 V 2.00-2.09, 1 Zn 2.16
16 O 0.2643 0.0177 0.8887  3 V 2.00-2.09, 1 Zn 2.16
17 O 0.2643 0.4823 0.1113  3 V 2.00-2.09, 1 Zn 2.16
18 O 0.2643 0.4823 0.3887  3 V 2.00-2.09, 1 Zn 2.16
19 O 0.3092 0.7500 0.0000  4 V 2.05-2.16
20 O 0.3092 0.7500 0.5000  4 V 2.05-2.16
21 O 0.6908 0.2500 0.0000  4 V 2.05-2.16
22 O 0.6908 0.2500 0.5000  4 V 2.05-2.16
23 O 0.7357 0.5177 0.6113  3 V 2.00-2.09, 1 Zn 2.16
24 O 0.7357 0.5177 0.8887  3 V 2.00-2.09, 1 Zn 2.16
25 O 0.7357 0.9823 0.1113  3 V 2.00-2.09, 1 Zn 2.16
26 O 0.7357 0.9823 0.3887  3 V 2.00-2.09, 1 Zn 2.16
27 O 0.8471 0.7161 0.2500  2 V 2.03, 2 Zn 2.04-2.07
28 O 0.8471 0.7839 0.7500  2 V 2.03, 2 Zn 2.04-2.07